{
  "formula": "NiC5",
  "functional": "PBE-GGA",
  "state": "optimized geometry",
  "mass_density_g_cm3": 3.85,
  "e_above_lowest_polymorph_mev_per_atom": 2592,
  "formation_enthalpy_0k_ev_per_atom": 2.999,
  "lattice": [[-3.5168, -1.4341, 0.4380], [3.0417, -2.0136, 1.1443], [-0.2425, 1.7118, 3.6571]],
  "species": ["Ni", "C", "C", "C", "C", "C"],
  "fractional_positions": [[0.0000, 0.0000, 0.5000], [0.7818, 0.0000, 0.0000], [0.2182, 0.2182, 0.0000], [0.0000, 0.7818, 0.0000], [0.6667, 0.3333, 0.5000], [0.3333, 0.6667, 0.5000]]
}

=====

{
  "formula": "Ni6C7",
  "functional": "PBE-GGA",
  "state": "optimized geometry",
  "mass_density_g_cm3": 6.00,
  "formation_enthalpy_0k_ev_per_atom": 1.327,
  "lattice": [[8.7012, 0.0070, 0.0042], [7.7417, 3.9722, 0.0042], [7.7417, 1.8735, 3.5026]],
  "species": ["Ni", "Ni", "Ni", "Ni", "Ni", "Ni", "C", "C", "C", "C", "C", "C", "C"],
  "fractional_positions": [[0.0889, 0.0889, 0.0889], [0.9111, 0.9111, 0.9111], [0.1905, 0.1905, 0.1905], [0.8095, 0.8095, 0.8095], [0.3539, 0.3539, 0.3539], [0.6461, 0.6461, 0.6461], [0.6112, 0.9732, 0.6112], [0.6112, 0.6112, 0.9732], [0.9732, 0.6112, 0.6112], [0.3888, 0.0268, 0.3888], [0.0268, 0.3888, 0.3888], [0.3888, 0.3888, 0.0268], [0.5000, 0.5000, 0.5000]]
}

=====

{
  "formula": "NiC5",
  "functional": "PBE-GGA",
  "state": "optimized geometry",
  "mass_density_g_cm3": 3.45,
  "e_above_lowest_polymorph_mev_per_atom": 0,
  "formation_enthalpy_0k_ev_per_atom": 0.408,
  "lattice": [[1.3397, -2.9880, -3.1786], [2.2831, -3.8050, -1.0659], [-3.7160, -4.1052, 0.0720]],
  "species": ["Ni", "C", "C", "C", "C", "C"],
  "fractional_positions": [[0.7374, 0.7374, 0.5275], [0.0064, 0.0064, 0.0189], [0.4839, 0.4839, 0.1523], [0.5016, 0.5016, 0.6244], [0.4131, 0.4131, 0.4305], [0.0243, 0.0243, 0.7465]]
}

=====

{
  "formula": "Ni2C",
  "functional": "PBE-GGA",
  "state": "optimized geometry",
  "mass_density_g_cm3": 7.85,
  "e_above_lowest_polymorph_mev_per_atom": 183,
  "formation_enthalpy_0k_ev_per_atom": 0.361,
  "lattice": [[-4.3169, -0.6579, 0.3386], [3.8638, -1.9627, -0.6338], [0.4756, -0.6278, 4.8435]],
  "species": ["Ni", "Ni", "Ni", "Ni", "C", "C"],
  "fractional_positions": [[0.5000, 0.5000, 0.0000], [0.5000, 0.5000, 0.5000], [0.7624, 0.2376, 0.2500], [0.2376, 0.7624, 0.7500], [0.8978, 0.1022, 0.7500], [0.1022, 0.8978, 0.2500]]
}

=====

{
  "formula": "NiC4",
  "functional": "PBE-GGA",
  "state": "optimized geometry",
  "mass_density_g_cm3": 3.51,
  "e_above_lowest_polymorph_mev_per_atom": 2644,
  "formation_enthalpy_0k_ev_per_atom": 3.489,
  "lattice": [[-1.5079, -0.8635, 3.2626], [-2.3190, -2.3312, -1.6888], [2.4520, -2.7357, 0.4093]],
  "species": ["Ni", "C", "C", "C", "C"],
  "fractional_positions": [[0.5000, 0.5000, 0.5000], [0.0000, 0.0000, 0.0000], [0.5000, 0.0000, 0.5000], [0.0000, 0.5000, 0.5000], [0.5000, 0.5000, 0.0000]]
}

=====

{
  "formula": "NiC3",
  "functional": "PBE-GGA",
  "state": "optimized geometry",
  "mass_density_g_cm3": 3.02,
  "e_above_lowest_polymorph_mev_per_atom": 2561,
  "formation_enthalpy_0k_ev_per_atom": 3.213,
  "lattice": [[-0.4438, -0.5086, -3.6718], [-3.6688, -0.4677, 0.5082], [-0.5292, 3.6688, -0.4442]],
  "species": ["Ni", "C", "C", "C"],
  "fractional_positions": [[0.0000, 0.0000, 0.0000], [0.5000, 0.0000, 0.0000], [0.0000, 0.5000, 0.0000], [0.0000, 0.0000, 0.5000]]
}

=====

{
  "formula": "NiC3",
  "functional": "PBE-GGA",
  "state": "optimized geometry",
  "mass_density_g_cm3": 3.99,
  "e_above_lowest_polymorph_mev_per_atom": 1134,
  "formation_enthalpy_0k_ev_per_atom": 1.787,
  "lattice": [[3.3928, -0.1043, 0.0000], [-2.5154, 2.2791, 0.0000], [0.0000, 0.0000, 5.2724]],
  "species": ["Ni", "C", "C", "C"],
  "fractional_positions": [[0.5000, 0.5000, 0.2500], [0.0000, 0.0000, 0.9440], [0.5000, 0.5000, 0.7500], [0.0000, 0.0000, 0.5560]]
}

=====

{
  "formula": "NiC3",
  "functional": "PBE-GGA",
  "state": "optimized geometry",
  "mass_density_g_cm3": 4.33,
  "e_above_lowest_polymorph_mev_per_atom": 323,
  "formation_enthalpy_0k_ev_per_atom": 0.976,
  "lattice": [[-1.1703, -1.9116, -1.8826], [2.7786, -0.3314, 0.8848], [-0.0393, -3.6140, 3.6942]],
  "species": ["Ni", "C", "C", "C"],
  "fractional_positions": [[0.0000, 0.0000, 0.0000], [0.5000, 0.0000, 0.5000], [0.4112, 0.8223, 0.7661], [0.5888, 0.1777, 0.2339]]
}